No. 1
UTc2P2Os: optimized geometry, PBE.

Summary:
Energy of formation: -0.4874 eV per atom
V: 15.5 Å³/atom
E: -9.499 eV/atom
Fermi-level density of states: 0.361 states/eV per atom

abc: 3.9380 6.9371 6.7950
angles: 90.00 90.00 90.00
Closest atoms and distances in Å follow each position.
Element x y z (fractional)
U  0.0000  0.1054  0.0000  5 P 2.80-2.92, 4 Tc 2.92-3.05, 4 Os 2.97-3.13
U  0.0000  0.8946  0.5000  5 P 2.80-2.92, 4 Tc 2.92-3.05, 4 Os 2.97-3.13
Tc  0.0000  0.3197  0.3832  4 P 2.27-2.38
Tc  0.0000  0.6803  0.8832  4 P 2.27-2.38
Tc  0.5000  0.4064  0.0764  3 P 2.42-2.57
Tc  0.5000  0.5936  0.5764  3 P 2.42-2.57
P  0.0000  0.3971  0.7144  2 Tc 2.27-2.31, 2 Os 2.43
P  0.0000  0.6029  0.2144  2 Tc 2.27-2.31, 2 Os 2.43
P  0.5000  0.1409  0.3077  3 Tc 2.38-2.42, 2 Os 2.47-2.60
P  0.5000  0.8591  0.8077  3 Tc 2.38-2.42, 2 Os 2.47-2.60
Os  0.5000  0.1944  0.6859  4 P 2.43-2.60
Os  0.5000  0.8056  0.1859  4 P 2.43-2.60



No. 2
Dy3Tm: optimized geometry, PBE.

Summary:
Relative energy among the computed polymorphs: 0.06 kJ/mol of atoms
Energy of formation: 0.0051 eV per atom
V: 31.4 Å³/atom
E: -4.564 eV/atom
Fermi-level density of states: 1.693 states/eV per atom

abc: 6.6528 6.6528 6.6528
angles: 148.59 65.44 124.21
Closest atoms and distances in Å follow each position.
Element x y z (fractional)
Dy  0.0000  0.0000  0.0000  8 Dy 3.48-3.60, 4 Tm 3.59-3.60
Dy  0.4177  0.6667  0.7510  9 Dy 3.48-3.60, 3 Tm 3.48-3.49
Dy  0.9157  0.6667  0.2490  9 Dy 3.48-3.60, 3 Tm 3.48-3.49
Tm  0.4984  0.9984  0.5000  10 Dy 3.48-3.60, 2 Tm 3.60



No. 3
MnAs8: optimized geometry, PBE.

Summary:
Energy of formation: 0.2758 eV per atom
V: 21.8 Å³/atom
E: -4.876 eV/atom
Fermi-level density of states: 0.335 states/eV per atom

abc: 7.7710 7.7710 7.7710
angles: 92.75 92.75 154.69
Closest atoms and distances in Å follow each position.
Element x y z (fractional)
Mn  0.0000  0.0000  0.0000  12 As 2.83-2.84
As  0.0000  0.2636  0.2636  4 As 2.64, 1 Mn 2.83
As  0.0000  0.7364  0.7364  4 As 2.64, 1 Mn 2.83
As  0.2636  0.0000  0.2636  4 As 2.64, 1 Mn 2.83
As  0.3503  0.3503  0.7005  4 As 2.64, 2 Mn 2.84
As  0.3503  0.6497  0.0000  4 As 2.64, 2 Mn 2.84
As  0.6497  0.3503  0.0000  4 As 2.64, 2 Mn 2.84
As  0.6497  0.6497  0.2995  4 As 2.64, 2 Mn 2.84
As  0.7364  0.0000  0.7364  4 As 2.64, 1 Mn 2.83



No. 4
Na2Li2Pb3: optimized geometry, PBE.

Summary:
Relative energy among the computed polymorphs: 0.47 kJ/mol of atoms
Energy of formation: -0.1659 eV per atom
V: 26.0 Å³/atom
E: -2.679 eV/atom
Fermi-level density of states: 0.380 states/eV per atom

abc: 5.1509 5.1509 8.4104
angles: 108.70 108.70 61.53
Closest atoms and distances in Å follow each position.
Element x y z (fractional)
Na  0.0784  0.0784  0.2409  4 Li 3.06-3.16, 3 Pb 3.27-3.28
Na  0.9216  0.9216  0.7591  4 Li 3.06-3.16, 3 Pb 3.27-3.28
Li  0.2142  0.2142  0.6330  4 Na 3.06-3.16, 3 Pb 3.12-3.19
Li  0.7858  0.7858  0.3670  4 Na 3.06-3.16, 3 Pb 3.12-3.19
Pb  0.3562  0.3562  0.0722  4 Pb 3.20-3.34, 3 Na 3.27-3.28, 1 Li 3.43
Pb  0.5000  0.5000  0.5000  6 Li 3.12-3.19, 2 Pb 3.34
Pb  0.6438  0.6438  0.9278  4 Pb 3.20-3.34, 3 Na 3.27-3.28, 1 Li 3.43



No. 5
Cu2Sn2Ge: optimized geometry, PBE.

Summary:
Relative energy among the computed polymorphs: 20.80 kJ/mol of atoms
Energy of formation: 0.3643 eV per atom
V: 20.9 Å³/atom
E: -3.799 eV/atom
Fermi-level density of states: 0.563 states/eV per atom

abc: 6.4596 6.4596 6.4596
angles: 141.27 141.27 55.93
Closest atoms and distances in Å follow each position.
Element x y z (fractional)
Cu  0.1034  0.1034  0.0000  1 Cu 2.36
Cu  0.8966  0.8966  0.0000  1 Cu 2.36
Sn  0.2500  0.7500  0.5000  4 Cu 2.72, 4 Sn 3.03
Sn  0.7500  0.2500  0.5000  4 Cu 2.72, 4 Sn 3.03
Ge  0.5000  0.5000  0.0000  8 Cu 3.25, 8 Sn 3.57



No. 6
Li2LaCu9: optimized geometry, PBE.

Summary:
Relative energy among the computed polymorphs: 0.00 kJ/mol of atoms
Energy of formation: -0.1206 eV per atom
V: 14.6 Å³/atom
E: -3.922 eV/atom
Fermi-level density of states: 0.440 states/eV per atom

abc: 8.3966 8.3966 4.9712
angles: 90.00 90.00 90.00
Closest atoms and distances in Å follow each position.
Element x y z (fractional)
Li  0.1123  0.3877  0.0000  1 Li 2.67, 12 Cu 2.75-2.92
Li  0.3877  0.8877  0.0000  1 Li 2.67, 12 Cu 2.75-2.92
Li  0.6123  0.1123  0.0000  1 Li 2.67, 12 Cu 2.75-2.92
Li  0.8877  0.6123  0.0000  1 Li 2.67, 12 Cu 2.75-2.92
La  0.0000  0.0000  0.0000  16 Cu 3.11-3.32, 4 Li 3.39
La  0.5000  0.5000  0.0000  16 Cu 3.11-3.32, 4 Li 3.39
Cu  0.0000  0.5000  0.5000  8 Cu 2.47-2.48
Cu  0.0638  0.2125  0.5000  8 Cu 2.47-2.66
Cu  0.1798  0.6798  0.2448  7 Cu 2.43-2.57
Cu  0.1798  0.6798  0.7552  7 Cu 2.43-2.57
Cu  0.2125  0.9362  0.5000  8 Cu 2.47-2.66
Cu  0.2875  0.4362  0.5000  8 Cu 2.47-2.66
Cu  0.3202  0.1798  0.2448  7 Cu 2.43-2.57
Cu  0.3202  0.1798  0.7552  7 Cu 2.43-2.57
Cu  0.4362  0.7125  0.5000  8 Cu 2.47-2.66
Cu  0.5000  0.0000  0.5000  8 Cu 2.47-2.48
Cu  0.5638  0.2875  0.5000  8 Cu 2.47-2.66
Cu  0.6798  0.8202  0.2448  7 Cu 2.43-2.57
Cu  0.6798  0.8202  0.7552  7 Cu 2.43-2.57
Cu  0.7125  0.5638  0.5000  8 Cu 2.47-2.66
Cu  0.7875  0.0638  0.5000  8 Cu 2.47-2.66
Cu  0.8202  0.3202  0.2448  7 Cu 2.43-2.57
Cu  0.8202  0.3202  0.7552  7 Cu 2.43-2.57
Cu  0.9362  0.7875  0.5000  8 Cu 2.47-2.66



No. 7
Np3NbSe2O6: optimized geometry, PBE.

Summary:
V: 18.2 Å³/atom
E: -9.214 eV/atom
Fermi-level density of states: 1.575 states/eV per atom

abc: 6.7634 6.7634 5.6691
angles: 100.37 100.37 59.48
Closest atoms and distances in Å follow each position.
Element x y z (fractional)
Np  0.0000  0.0000  0.0000  4 O 2.47, 2 Se 2.74
Np  0.0000  0.5000  0.5000  4 O 2.20-2.25
Np  0.5000  0.0000  0.5000  4 O 2.20-2.25
Nb  0.5000  0.5000  0.5000  6 O 2.02-2.16
Se  0.2095  0.2095  0.8592  3 Np 2.74-2.76, 1 O 2.80
Se  0.7905  0.7905  0.1408  3 Np 2.74-2.76, 1 O 2.80
O  0.1995  0.6744  0.6959  1 Nb 2.16, 1 Np 2.25
O  0.3256  0.8005  0.3041  1 Nb 2.16, 1 Np 2.25
O  0.3294  0.3294  0.3407  1 Nb 2.02, 2 Np 2.20
O  0.6706  0.6706  0.6593  1 Nb 2.02, 2 Np 2.20
O  0.6744  0.1995  0.6959  1 Nb 2.16, 1 Np 2.25
O  0.8005  0.3256  0.3041  1 Nb 2.16, 1 Np 2.25



No. 8
Li2PaMn2N4: optimized geometry, PBE.

Summary:
V: 12.3 Å³/atom
E: -7.936 eV/atom
Fermi-level density of states: 0.398 states/eV per atom

abc: 5.2464 5.2464 7.8227
angles: 119.19 119.19 36.86
Closest atoms and distances in Å follow each position.
Element x y z (fractional)
Li  0.1366  0.1366  0.2284  4 N 2.25-2.40
Li  0.8634  0.8634  0.7716  4 N 2.25-2.40
Pa  0.0000  0.0000  0.5000  6 N 2.27-2.36
Mn  0.3474  0.3474  0.1079  4 N 1.88-1.93
Mn  0.6526  0.6526  0.8921  4 N 1.88-1.93
N  0.2165  0.2165  0.8297  3 Mn 1.88-1.93
N  0.4470  0.4470  0.6541  1 Mn 1.93
N  0.5530  0.5530  0.3459  1 Mn 1.93
N  0.7835  0.7835  0.1703  3 Mn 1.88-1.93



No. 9
LiCr2S: optimized geometry, PBE.

Summary:
V: 12.9 Å³/atom
E: -6.157 eV/atom
Fermi-level density of states: 0.827 states/eV per atom

abc: 9.0461 9.0461 9.0461
angles: 158.11 158.11 31.15
Closest atoms and distances in Å follow each position.
Element x y z (fractional)
Li  0.0000  0.0000  0.0000  4 S 2.43, 4 Cr 2.57
Li  0.7500  0.2500  0.5000  4 S 2.43, 4 Cr 2.57
Cr  0.1846  0.6250  0.0596  2 Cr 2.16
Cr  0.3750  0.4346  0.5596  2 Cr 2.16
Cr  0.5654  0.1250  0.9404  2 Cr 2.16
Cr  0.8750  0.8154  0.4404  2 Cr 2.16
S  0.2500  0.7500  0.5000  4 Li 2.43, 4 Cr 2.43
S  0.5000  0.5000  0.0000  4 Li 2.43, 4 Cr 2.43



No. 10
BaSnCl2: optimized geometry, PBE.

Summary:
Relative energy among the computed polymorphs: 16.09 kJ/mol of atoms
V: 30.1 Å³/atom
E: -3.522 eV/atom
Fermi-level density of states: 1.044 states/eV per atom

abc: 5.5441 5.5441 5.5441
angles: 60.00 60.00 60.00
Closest atoms and distances in Å follow each position.
Element x y z (fractional)
Ba  0.0000  0.0000  0.0000  8 Cl 3.40
Sn  0.5000  0.5000  0.5000  8 Cl 3.40
Cl  0.2500  0.2500  0.2500  4 Sn 3.40, 4 Ba 3.40
Cl  0.7500  0.7500  0.7500  4 Sn 3.40, 4 Ba 3.40



No. 11
GeSbTe2Rh: optimized geometry, PBE.

Summary:
Relative energy among the computed polymorphs: 0.00 kJ/mol of atoms
V: 28.4 Å³/atom
E: -4.065 eV/atom
Fermi-level density of states: 0.811 states/eV per atom

abc: 5.3721 5.3721 4.9284
angles: 90.00 90.00 90.00
Closest atoms and distances in Å follow each position.
Element x y z (fractional)
Ge  0.0000  0.0000  0.0000  8 Te 3.65, 4 Sb 3.80
Sb  0.5000  0.5000  0.0000  2 Rh 2.46
Te  0.0000  0.5000  0.5000  2 Rh 2.69
Te  0.5000  0.0000  0.5000  2 Rh 2.69
Rh  0.5000  0.5000  0.5000  2 Sb 2.46, 4 Te 2.69



No. 12
PmSmEr: optimized geometry, PBE.

Summary:
Relative energy among the computed polymorphs: 0.47 kJ/mol of atoms
Energy of formation: 0.0219 eV per atom
V: 32.9 Å³/atom
E: -4.656 eV/atom
Fermi-level density of states: 1.280 states/eV per atom

abc: 3.6132 3.6132 8.9830
angles: 101.81 101.81 60.14
Closest atoms and distances in Å follow each position.
Element x y z (fractional)
Pm  0.0000  0.0000  0.0000  3 Er 3.56, 6 Pm 3.61-3.62, 3 Sm 3.62-3.65
Sm  0.4429  0.4429  0.3418  3 Er 3.54, 6 Sm 3.61-3.62, 3 Pm 3.62-3.65
Er  0.2215  0.2215  0.6697  3 Sm 3.54, 3 Pm 3.56, 6 Er 3.61-3.62



no.,total magnetization (μB per formula unit)
1,0.0
2,0.0
3,1.7
4,0.0
5,0.0
6,0.0
7,3.0
8,2.6
9,0.0
10,1.7
11,0.0
12,0.0